(1)
A plane-wave DFT calculation with PBE was carried out for an optimized crystal structure of Nd6Ru2Au.

Unit cell a=8.659 b=8.659 c=8.659 alpha=111.96 beta=111.53 gamma=105.01
Positions (direct):
Nd 0.046 0.240 0.806
Nd 0.181 0.282 0.462
Nd 0.181 0.718 0.899
Nd 0.329 0.014 0.686
Nd 0.329 0.643 0.314
Nd 0.433 0.240 0.194
Nd 0.567 0.760 0.806
Nd 0.671 0.357 0.686
Nd 0.671 0.986 0.314
Nd 0.819 0.282 0.101
Nd 0.819 0.718 0.538
Nd 0.954 0.760 0.194
Ru 0.125 0.625 0.500
Ru 0.324 0.000 0.324
Ru 0.676 0.000 0.676
Ru 0.875 0.375 0.500
Au 0.000 0.000 0.000
Au 0.500 0.500 0.000

Computed properties:
space group: Immm
DFT formation energy: -2.81 eV per formula unit
size of the total moment: 0.0000 μB/atom

=====

(2)
A plane-wave DFT calculation with PBE was carried out for an optimized crystal structure of CeBeNi2H8.

Unit cell a=6.586 b=6.586 c=6.586 alpha=36.82 beta=36.82 gamma=36.82
Positions (direct):
Ce 0.000 0.000 0.000
Be 0.500 0.500 0.500
Ni 0.176 0.176 0.176
Ni 0.824 0.824 0.824
H 0.107 0.801 0.434
H 0.199 0.566 0.893
H 0.343 0.343 0.343
H 0.434 0.107 0.801
H 0.566 0.893 0.199
H 0.657 0.657 0.657
H 0.801 0.434 0.107
H 0.893 0.199 0.566

Computed properties:
space group: R-3
DFT total energy: -4.17 eV per atom
size of the total moment: 0.0736 μB/atom

=====

(3)
A plane-wave DFT calculation with PBE was carried out for an optimized crystal structure of Rb2PrTi2O7.

Unit cell a=11.664 b=11.664 c=11.664 alpha=160.51 beta=160.51 gamma=27.71
Positions (direct):
Rb 0.190 0.190 0.000
Rb 0.810 0.810 0.000
Pr 0.000 0.000 0.000
Ti 0.407 0.407 0.000
Ti 0.593 0.593 0.000
O 0.078 0.578 0.500
O 0.328 0.328 0.000
O 0.422 0.922 0.500
O 0.500 0.500 0.000
O 0.578 0.078 0.500
O 0.672 0.672 0.000
O 0.922 0.422 0.500

Computed properties:
space group: I4/mmm
size of the total moment: 0.0687 μB/atom
uncorrected formation energy: -2.630 eV/atom

=====

(4)
A plane-wave DFT calculation with PBE was carried out for an optimized crystal structure of TaCrNi2.

Unit cell a=4.465 b=4.465 c=4.644 alpha=99.73 beta=99.73 gamma=34.75
Positions (direct):
Ta 0.000 0.000 0.000
Cr 0.242 0.242 0.689
Ni 0.500 0.500 0.499
Ni 0.755 0.755 0.239

Computed properties:
space group: Cm
DFT formation energy: 0.12 eV per formula unit
size of the total moment: 0.1211 μB/atom

=====

(5)
A plane-wave DFT calculation with PBE was carried out for an optimized crystal structure of Zr5Co.

Unit cell a=7.537 b=7.537 c=5.097 alpha=90.00 beta=90.00 gamma=154.74
Positions (direct):
Zr 0.000 0.000 0.000
Zr 0.147 0.853 0.500
Zr 0.334 0.666 0.000
Zr 0.666 0.334 0.000
Zr 0.853 0.147 0.500
Co 0.500 0.500 0.500

Computed properties:
space group: Cmmm
DFT formation energy: 0.22 eV per formula unit
size of the total moment: 0.0000 μB/atom

=====

(6)
A plane-wave DFT calculation with PBE was carried out for an optimized crystal structure of Rb2LaAsBr6.

Unit cell a=8.815 b=8.815 c=8.815 alpha=126.73 beta=126.73 gamma=78.69
Positions (direct):
Rb 0.250 0.750 0.500
Rb 0.750 0.250 0.500
La 0.000 0.000 0.000
As 0.500 0.500 0.000
Br 0.215 0.215 0.000
Br 0.260 0.260 0.520
Br 0.260 0.740 0.000
Br 0.740 0.260 0.000
Br 0.740 0.740 0.480
Br 0.785 0.785 0.000

Computed properties:
space group: I4/mmm
size of the total moment: 0.0000 μB/atom
uncorrected formation energy: -1.316 eV/atom

=====

(7)
A plane-wave DFT calculation with PBE was carried out for an optimized crystal structure of K4TlW.

Unit cell a=7.054 b=7.054 c=7.054 alpha=60.00 beta=60.00 gamma=60.00
Positions (direct):
K 0.125 0.125 0.125
K 0.125 0.125 0.624
K 0.125 0.624 0.125
K 0.624 0.125 0.125
Tl 0.750 0.750 0.750
W 0.500 0.500 0.500

Computed properties:
space group: F-43m
DFT formation energy: 7.31 eV per formula unit
size of the total moment: 0.6932 μB/atom

=====

(8)
A plane-wave DFT calculation with PBE was carried out for an optimized crystal structure of Fe3HIr.

Unit cell a=3.619 b=3.619 c=3.619 alpha=90.00 beta=90.00 gamma=90.00
Positions (direct):
Fe 0.000 0.000 0.500
Fe 0.000 0.500 0.000
Fe 0.500 0.000 0.000
H 0.000 0.000 0.000
Ir 0.500 0.500 0.500

Computed properties:
space group: Pm-3m
DFT total energy: -7.47 eV per atom
size of the total moment: 0.0000 μB/atom

=====

(9)
A plane-wave DFT calculation with PBE was carried out for an optimized crystal structure of K4Tl4Zn.

Unit cell a=8.956 b=8.956 c=8.956 alpha=132.75 beta=132.75 gamma=69.05
Positions (direct):
K 0.077 0.690 0.000
K 0.310 0.310 0.388
K 0.690 0.077 0.000
K 0.923 0.923 0.612
Tl 0.176 0.176 0.640
Tl 0.464 0.824 0.000
Tl 0.536 0.536 0.360
Tl 0.824 0.464 0.000
Zn 0.500 0.500 0.000

Computed properties:
space group: I-42m
DFT formation energy: 0.48 eV per formula unit
size of the total moment: 0.0000 μB/atom

=====

(10)
A plane-wave DFT calculation with PBE was carried out for an optimized crystal structure of CsBeI2O.

Unit cell a=7.035 b=7.035 c=3.135 alpha=90.00 beta=90.00 gamma=90.00
Positions (direct):
Cs 0.000 0.000 0.000
Be 0.500 0.500 0.500
I 0.000 0.500 0.500
I 0.500 0.000 0.500
O 0.500 0.500 0.000

Computed properties:
space group: P4/mmm
size of the total moment: 0.0001 μB/atom
uncorrected formation energy: -1.092 eV/atom

=====

(11)
A plane-wave DFT calculation with PBE was carried out for an optimized crystal structure of Sr2Mg12TlCd3.

Unit cell a=11.614 b=11.614 c=11.614 alpha=37.40 beta=37.40 gamma=37.40
Positions (direct):
Sr 0.143 0.143 0.143
Sr 0.857 0.857 0.857
Mg 0.085 0.085 0.692
Mg 0.085 0.692 0.085
Mg 0.118 0.589 0.589
Mg 0.308 0.915 0.915
Mg 0.411 0.411 0.882
Mg 0.411 0.882 0.411
Mg 0.589 0.118 0.589
Mg 0.589 0.589 0.118
Mg 0.692 0.085 0.085
Mg 0.882 0.411 0.411
Mg 0.915 0.308 0.915
Mg 0.915 0.915 0.308
Tl 0.500 0.500 0.500
Cd 0.000 0.500 0.500
Cd 0.500 0.000 0.500
Cd 0.500 0.500 0.000

Computed properties:
space group: R-3m
DFT formation energy: 1.60 eV per formula unit
size of the total moment: 0.0000 μB/atom

=====

(12)
A plane-wave DFT calculation with PBE was carried out for an optimized crystal structure of GaRh2O.

Unit cell a=7.128 b=7.128 c=7.128 alpha=143.34 beta=143.34 gamma=52.81
Positions (direct):
Ga 0.000 0.000 0.000
Ga 0.750 0.250 0.500
Rh 0.234 0.625 0.109
Rh 0.375 0.484 0.609
Rh 0.516 0.125 0.891
Rh 0.875 0.766 0.391
O 0.250 0.750 0.500
O 0.500 0.500 0.000

Computed properties:
space group: I-42d
size of the total moment: 0.0000 μB/atom
uncorrected formation energy: -0.099 eV/atom

=====

(13)
A plane-wave DFT calculation with PBE was carried out for an optimized crystal structure of PmSmTm2Th.

Unit cell a=3.540 b=5.621 c=8.667 alpha=90.00 beta=90.05 gamma=90.00
Positions (direct):
Pm 0.000 0.000 0.000
Sm 0.500 0.000 0.500
Tm 0.001 0.500 0.320
Tm 0.999 0.500 0.680
Th 0.500 0.500 0.000

Computed properties:
space group: P2/m
DFT formation energy: 1.52 eV per formula unit
size of the total moment: 0.0000 μB/atom

=====

(14)
A plane-wave DFT calculation with PBE was carried out for an optimized crystal structure of LiHg4H2.

Unit cell a=3.148 b=6.264 c=7.194 alpha=75.73 beta=89.60 gamma=75.79
Positions (direct):
Li 0.000 0.000 0.000
Hg 0.338 0.318 0.149
Hg 0.409 0.204 0.671
Hg 0.591 0.796 0.329
Hg 0.662 0.682 0.851
H 0.327 0.359 0.405
H 0.673 0.641 0.595

Computed properties:
space group: P-1
DFT total energy: -1.30 eV per atom
size of the total moment: 0.0000 μB/atom

=====

(15)
A plane-wave DFT calculation with PBE was carried out for an optimized crystal structure of BaTbSiN3.

Unit cell a=6.668 b=6.668 c=7.769 alpha=105.89 beta=105.89 gamma=33.27
Positions (direct):
Ba 0.144 0.144 0.072
Ba 0.856 0.856 0.928
Tb 0.152 0.152 0.572
Tb 0.848 0.848 0.428
Si 0.496 0.496 0.712
Si 0.504 0.504 0.288
N 0.004 0.004 0.301
N 0.348 0.348 0.644
N 0.358 0.358 0.219
N 0.642 0.642 0.781
N 0.652 0.652 0.356
N 0.996 0.996 0.699

Computed properties:
space group: C2/m
size of the total moment: 0.0000 μB/atom
uncorrected formation energy: -0.833 eV/atom

=====

(16)
A plane-wave DFT calculation with PBE was carried out for an optimized crystal structure of NaPbClF2.

Unit cell a=6.620 b=6.620 c=7.632 alpha=90.00 beta=90.00 gamma=145.83
Positions (direct):
Na 0.000 0.000 0.000
Na 0.000 0.000 0.500
Pb 0.258 0.742 0.750
Pb 0.742 0.258 0.250
Cl 0.445 0.555 0.250
Cl 0.555 0.445 0.750
F 0.174 0.826 0.065
F 0.174 0.826 0.435
F 0.826 0.174 0.565
F 0.826 0.174 0.935

Computed properties:
space group: Cmcm
size of the total moment: 0.0000 μB/atom
uncorrected formation energy: -2.148 eV/atom

=====

(17)
A plane-wave DFT calculation with PBE was carried out for an optimized crystal structure of La8Tb2Nd.

Unit cell a=10.475 b=10.475 c=5.818 alpha=92.92 beta=92.92 gamma=40.22
Positions (direct):
La 0.044 0.044 0.238
La 0.095 0.641 0.266
La 0.314 0.314 0.765
La 0.359 0.905 0.734
La 0.641 0.095 0.266
La 0.686 0.686 0.235
La 0.905 0.359 0.734
La 0.956 0.956 0.762
Tb 0.216 0.216 0.256
Tb 0.784 0.784 0.744
Nd 0.500 0.500 0.000

Computed properties:
space group: C2/m
DFT formation energy: 1.51 eV per formula unit
size of the total moment: 0.0000 μB/atom

=====

(18)
A plane-wave DFT calculation with PBE was carried out for an optimized crystal structure of TmThS.

Unit cell a=6.832 b=6.832 c=6.832 alpha=31.99 beta=31.99 gamma=31.99
Positions (direct):
Tm 0.000 0.000 0.000
Th 0.490 0.490 0.490
S 0.253 0.253 0.253

Computed properties:
space group: R3m
size of the total moment: 0.0015 μB/atom
uncorrected formation energy: -1.110 eV/atom

=====

(19)
A plane-wave DFT calculation with PBE was carried out for an optimized crystal structure of SrPm2Ag2Ge2.

Unit cell a=10.061 b=10.061 c=10.061 alpha=26.75 beta=26.75 gamma=26.75
Positions (direct):
Sr 0.000 0.000 0.000
Pm 0.129 0.129 0.129
Pm 0.871 0.871 0.871
Ag 0.407 0.407 0.407
Ag 0.593 0.593 0.593
Ge 0.251 0.251 0.251
Ge 0.749 0.749 0.749

Computed properties:
space group: R-3m
DFT formation energy: -3.19 eV per formula unit
size of the total moment: 0.0000 μB/atom

=====

(20)
A plane-wave DFT calculation with PBE was carried out for an optimized crystal structure of Tm2MgGe3Ir4.

Unit cell a=4.067 b=4.067 c=10.967 alpha=90.00 beta=90.00 gamma=90.00
Positions (direct):
Tm 0.000 0.500 0.237
Tm 0.500 0.000 0.763
Mg 0.000 0.000 0.500
Ge 0.000 0.500 0.871
Ge 0.500 0.000 0.129
Ge 0.500 0.500 0.500
Ir 0.000 0.000 0.000
Ir 0.000 0.500 0.650
Ir 0.500 0.000 0.350
Ir 0.500 0.500 0.000

Computed properties:
space group: P-4m2
DFT formation energy: -7.09 eV per formula unit
size of the total moment: 0.0000 μB/atom

=====

(21)
A plane-wave DFT calculation with PBE was carried out for an optimized crystal structure of Cs3CuPb4.

Unit cell a=7.576 b=14.452 c=6.778 alpha=90.00 beta=90.00 gamma=90.00
Positions (direct):
Cs 0.250 0.004 0.169
Cs 0.250 0.250 0.536
Cs 0.250 0.496 0.169
Cs 0.750 0.504 0.831
Cs 0.750 0.750 0.464
Cs 0.750 0.996 0.831
Cu 0.250 0.750 0.320
Cu 0.750 0.250 0.680
Pb 0.036 0.750 0.978
Pb 0.250 0.639 0.662
Pb 0.250 0.861 0.662
Pb 0.464 0.750 0.978
Pb 0.536 0.250 0.022
Pb 0.750 0.139 0.338
Pb 0.750 0.361 0.338
Pb 0.964 0.250 0.022

Computed properties:
space group: Pmmn
DFT formation energy: -1.37 eV per formula unit
size of the total moment: 0.0000 μB/atom

=====

(22)
A plane-wave DFT calculation with PBE was carried out for an optimized crystal structure of Y2CrIr.

Unit cell a=4.220 b=4.010 c=5.837 alpha=90.00 beta=111.12 gamma=90.00
Positions (direct):
Y 0.000 0.000 0.000
Y 0.290 0.500 0.581
Cr 0.704 0.000 0.410
Ir 0.568 0.500 0.137

Computed properties:
space group: Pm
DFT formation energy: -0.92 eV per formula unit
size of the total moment: 0.8579 μB/atom

=====

(23)
A plane-wave DFT calculation with PBE was carried out for an optimized crystal structure of AcPrHgIr.

Unit cell a=5.360 b=5.360 c=5.360 alpha=60.00 beta=60.00 gamma=60.00
Positions (direct):
Ac 0.000 0.000 0.000
Pr 0.500 0.500 0.500
Hg 0.750 0.750 0.750
Ir 0.250 0.250 0.250

Computed properties:
space group: F-43m
DFT formation energy: -1.72 eV per formula unit
size of the total moment: 0.0000 μB/atom